[1]
Material: FeRhSe2
Method: DFT, PBE
State: relaxed

## Properties
Symmetry   No. 123
Formation energy from raw total energies   0.1086 eV per atom
Energy   -22.35 eV/cell
Total magnetic moment   2.55 μB/f.u.

Cell: 4.4151 4.4151 3.1472 Å, 90.00 90.00 90.02°
Last column: nearest neighbours and their distance in Å.
Atoms (fractional coordinates):
Se1 0.5000 0.5000 0.0000  4 Fe 2.71, 4 Rh 2.71
Rh1 0.0000 0.5000 0.5000  8 Se 2.71
Fe1 0.5000 0.0000 0.5000  8 Se 2.71
Se2 0.0000 0.0000 0.0000  4 Rh 2.71, 4 Fe 2.71

***

[2]
Material: Ac2Mg2CdPd5
Method: DFT, PBE
State: relaxed

## Properties
Symmetry   No. 127
Energy   -87.05 eV/cell
Energy of formation from the pure elements   -0.524 eV/atom
Total magnetic moment   0.00 μB/f.u.

Cell: 3.7077 10.6864 10.6864 Å, 90.00 90.00 90.00°
Last column: nearest neighbours and their distance in Å.
Atoms (fractional coordinates):
Pd1 0.5000 0.0571 0.7971  2 Mg 2.74, 2 Cd 2.92
Mg1 0.0000 0.8805 0.3805  6 Pd 2.59-2.74
Ac1 0.0000 0.6795 0.1795  3 Mg 3.04-3.26, 10 Pd 3.29-3.38
Pd2 0.5000 0.2029 0.0571  2 Mg 2.74, 2 Cd 2.92
Pd3 0.5000 0.2971 0.5571  2 Mg 2.74, 2 Cd 2.92
Cd1 0.0000 0.0000 0.0000  8 Pd 2.92
Pd4 0.5000 0.5000 0.0000  4 Mg 2.59
Pd5 0.5000 0.4429 0.2971  2 Mg 2.74, 2 Cd 2.92
Ac2 0.0000 0.8205 0.6795  3 Mg 3.04-3.26, 10 Pd 3.29-3.38
Ac3 0.0000 0.1795 0.3205  3 Mg 3.04-3.26, 10 Pd 3.29-3.38
Mg2 0.0000 0.1195 0.6195  6 Pd 2.59-2.74
Pd6 0.5000 0.7029 0.4429  2 Mg 2.74, 2 Cd 2.92
Cd2 0.0000 0.5000 0.5000  8 Pd 2.92
Pd7 0.5000 0.9429 0.2029  2 Mg 2.74, 2 Cd 2.92
Ac4 0.0000 0.3205 0.8205  3 Mg 3.04-3.26, 10 Pd 3.29-3.38
Pd8 0.5000 0.5571 0.7029  2 Mg 2.74, 2 Cd 2.92
Mg3 0.0000 0.6195 0.8805  6 Pd 2.59-2.74
Mg4 0.0000 0.3805 0.1195  6 Pd 2.59-2.74
Pd9 0.5000 0.7971 0.9429  2 Mg 2.74, 2 Cd 2.92
Pd10 0.5000 0.0000 0.5000  4 Mg 2.59

***

[3]
Material: CeCd4Pd5
Method: DFT, PBE
State: relaxed

## Properties
Symmetry   No. 123
Energy   -40.04 eV/cell
Energy of formation from the pure elements   -0.448 eV/atom
Total magnetic moment   0.38 μB/f.u.

Cell: 3.3173 3.3173 16.7724 Å, 90.00 90.00 90.00°
Last column: nearest neighbours and their distance in Å.
Atoms (fractional coordinates):
Pd1 0.5000 0.5000 0.8841  4 Cd 2.86, 4 Ce 3.05
Pd2 0.5000 0.5000 0.3096  8 Cd 2.84-2.85
Cd1 0.0000 0.0000 0.2135  8 Pd 2.85-2.86
Ce1 0.0000 0.0000 0.0000  8 Pd 3.05, 4 Ce 3.32
Cd2 0.0000 0.0000 0.4047  8 Pd 2.84
Pd3 0.5000 0.5000 0.1159  4 Cd 2.86, 4 Ce 3.05
Pd4 0.5000 0.5000 0.5000  8 Cd 2.84
Cd3 0.0000 0.0000 0.5953  8 Pd 2.84
Pd5 0.5000 0.5000 0.6904  8 Cd 2.84-2.85
Cd4 0.0000 0.0000 0.7865  8 Pd 2.85-2.86

***

[4]
Material: CrAs2Rh
Method: DFT, PBE
State: relaxed

## Properties
Symmetry   No. 225
Energy   -26.34 eV/cell
Energy of formation from the pure elements   -0.017 eV/atom
Total magnetic moment   0.00 μB/f.u.

Cell: 4.3266 4.3266 4.3266 Å, 60.00 60.00 60.00°
Last column: nearest neighbours and their distance in Å.
Atoms (fractional coordinates):
As1 0.2500 0.2500 0.2500  4 Cr 2.65, 4 Rh 2.65
Rh1 0.5000 0.5000 0.5000  8 As 2.65
Cr1 0.0000 0.0000 0.0000  8 As 2.65
As2 0.7500 0.7500 0.7500  4 Cr 2.65, 4 Rh 2.65

***

[5]
Material: Tb2GaSi3Rh4
Method: DFT, PBE
State: relaxed

## Properties
Symmetry   No. 115
Formation energy from raw total energies   -1.0180 eV per atom
Energy   -68.14 eV/cell
Total magnetic moment   0.00 μB/f.u.

Cell: 4.1555 4.1555 9.8428 Å, 90.00 90.00 90.00°
Last column: nearest neighbours and their distance in Å.
Atoms (fractional coordinates):
Si1 0.0000 0.0000 0.5000  4 Rh 2.47
Rh1 0.0000 0.5000 0.3651  3 Si 2.34-2.47, 2 Ga 2.47
Rh2 0.5000 0.0000 0.6349  3 Si 2.34-2.47, 2 Ga 2.47
Rh3 0.5000 0.5000 0.0000  4 Si 2.43
Si2 0.0000 0.5000 0.1275  5 Rh 2.34-2.43
Tb1 0.5000 0.0000 0.2519  8 Rh 3.14-3.23, 6 Si 3.18-3.21, 2 Ga 3.21
Si3 0.5000 0.0000 0.8725  5 Rh 2.34-2.43
Tb2 0.0000 0.5000 0.7481  8 Rh 3.14-3.23, 6 Si 3.18-3.21, 2 Ga 3.21
Ga1 0.5000 0.5000 0.5000  4 Rh 2.47
Rh4 0.0000 0.0000 0.0000  4 Si 2.43

***

[6]
Material: SrNiS2
Method: DFT, PBE
State: relaxed

## Properties
Symmetry   No. 225
Formation energy from raw total energies   -0.4839 eV per atom
Energy   -17.65 eV/cell
Total magnetic moment   1.99 μB/f.u.

Cell: 4.7970 4.7970 4.7970 Å, 60.00 60.00 60.00°
Last column: nearest neighbours and their distance in Å.
Atoms (fractional coordinates):
S1 0.7500 0.7500 0.7500  4 Ni 2.94, 4 Sr 2.94
Ni1 0.0000 0.0000 0.0000  8 S 2.94
Sr1 0.5000 0.5000 0.5000  8 S 2.94
S2 0.2500 0.2500 0.2500  4 Ni 2.94, 4 Sr 2.94